# YRh3Pb, relaxed, DFT PBE
# M_tot: 0.0 μB per formula unit
# DOS at the Fermi energy: 0.0601 states/eV/atom
# volume: 23.92 Å³/atom
# offset from the most stable computed form: 0 meV per atom
# total energy: -5.91 eV per atom
data_YRh3Pb
_cell_length_a 4.927
_cell_length_b 4.927
_cell_length_c 4.927
_cell_angle_alpha 90.00
_cell_angle_beta 90.00
_cell_angle_gamma 90.00
_space_group_name_H-M_alt 'P m -3 m'
_space_group_IT_number 221
_space_group_name_Hall '-P 4 2 3'
loop_
_atom_site_label
_atom_site_type_symbol
_atom_site_fract_x
_atom_site_fract_y
_atom_site_fract_z
Y1 Y 0.000 0.000 0.000
Rh1 Rh 0.000 0.500 0.500
Pb1 Pb 0.500 0.500 0.500


# TbNdEu2, relaxed, DFT PBE
# M_tot: 14.8 μB per formula unit
# DOS at the Fermi energy: 1.3955 states/eV/atom
# volume: 36.58 Å³/atom
# offset from the most stable computed form: 62 meV per atom
# total energy: -7.34 eV per atom
data_TbNdEu2
_cell_length_a 6.001
_cell_length_b 6.001
_cell_length_c 4.063
_cell_angle_alpha 90.00
_cell_angle_beta 90.00
_cell_angle_gamma 90.00
_space_group_name_H-M_alt 'P 4/m m m'
_space_group_IT_number 123
_space_group_name_Hall '-P 4 2'
loop_
_atom_site_label
_atom_site_type_symbol
_atom_site_fract_x
_atom_site_fract_y
_atom_site_fract_z
Tb1 Tb 0.000 0.000 0.000
Nd1 Nd 0.500 0.500 0.000
Eu1 Eu 0.000 0.500 0.500


# Ba3NpTe4, relaxed, DFT PBE
# M_tot: 4.9 μB per formula unit
# DOS at the Fermi energy: 1.4984 states/eV/atom
# volume: 50.49 Å³/atom
# formation energy (no corrections): -1.24 eV/atom
# total energy: -5.15 eV per atom
data_Ba3NpTe4
_cell_length_a 6.850
_cell_length_b 11.690
_cell_length_c 10.089
_cell_angle_alpha 90.00
_cell_angle_beta 90.00
_cell_angle_gamma 90.00
_space_group_name_H-M_alt 'P m m n'
_space_group_IT_number 59
loop_
_space_group_symop_operation_xyz
'x,y,z'
'-x,-y,-z'
'-x+1/2,-y+1/2,z'
'x+1/2,y+1/2,-z'
'x+1/2,-y,-z'
'-x+1/2,y,z'
'-x,y+1/2,-z'
'x,-y+1/2,z'
loop_
_atom_site_label
_atom_site_type_symbol
_atom_site_fract_x
_atom_site_fract_y
_atom_site_fract_z
Ba1 Ba 0.250 0.006 0.169
Ba2 Ba 0.250 0.750 0.654
Np1 Np 0.250 0.250 0.676
Te1 Te 0.250 0.012 0.823
Te2 Te 0.250 0.250 0.364
Te3 Te 0.250 0.750 0.321


# SrLi2AgAs, relaxed, DFT PBE
# M_tot: 0.0 μB per formula unit
# DOS at the Fermi energy: 0.0664 states/eV/atom
# volume: 27.39 Å³/atom
# total energy: -2.72 eV per atom
data_SrLi2AgAs
_cell_length_a 4.781
_cell_length_b 4.781
_cell_length_c 5.991
_cell_angle_alpha 90.00
_cell_angle_beta 90.00
_cell_angle_gamma 90.00
_space_group_name_H-M_alt 'P 4/m m m'
_space_group_IT_number 123
_space_group_name_Hall '-P 4 2'
loop_
_atom_site_label
_atom_site_type_symbol
_atom_site_fract_x
_atom_site_fract_y
_atom_site_fract_z
Sr1 Sr 0.000 0.000 0.000
Li1 Li 0.000 0.500 0.500
Ag1 Ag 0.000 0.000 0.500
As1 As 0.500 0.500 0.000